# Te2Pd5

An optimized crystal structure of Te2Pd5 (GGA-PBE, OQMD via LeMat-Bulk).

Cell: 7.649 7.649 6.708 Å, 114.49 114.49 45.17°
Sites, in units of the cell vectors:
Te 0.106 0.106 0.402
Te 0.370 0.370 0.136
Te 0.630 0.630 0.864
Te 0.894 0.894 0.598
Pd 0.025 0.522 0.735
Pd 0.127 0.127 0.839
Pd 0.249 0.751 0.000
Pd 0.414 0.414 0.576
Pd 0.478 0.975 0.265
Pd 0.522 0.025 0.735
Pd 0.586 0.586 0.424
Pd 0.751 0.249 0.000
Pd 0.873 0.873 0.161
Pd 0.975 0.478 0.265

## Properties
crystal system: monoclinic
energy: -4.88 eV/atom

=====

# Te2Pd9

An optimized crystal structure of Te2Pd9 (GGA-PBE, OQMD via LeMat-Bulk).

Cell: 2.975 2.975 34.751 Å, 90.00 90.00 120.00°
Sites, in units of the cell vectors:
Te 0.333 0.667 0.309
Te 0.667 0.333 0.691
Pd 0.000 0.000 0.000
Pd 0.000 0.000 0.184
Pd 0.000 0.000 0.816
Pd 0.333 0.667 0.122
Pd 0.333 0.667 0.753
Pd 0.333 0.667 0.939
Pd 0.667 0.333 0.061
Pd 0.667 0.333 0.247
Pd 0.667 0.333 0.878

## Properties
crystal system: trigonal
excess energy over the best structure of this formula in the dataset: 0.00 eV per formula unit

=====

Copy entry 1 word for word.
# Te2Pd5

An optimized crystal structure of Te2Pd5 (GGA-PBE, OQMD via LeMat-Bulk).

Cell: 7.649 7.649 6.708 Å, 114.49 114.49 45.17°
Sites, in units of the cell vectors:
Te 0.106 0.106 0.402
Te 0.370 0.370 0.136
Te 0.630 0.630 0.864
Te 0.894 0.894 0.598
Pd 0.025 0.522 0.735
Pd 0.127 0.127 0.839
Pd 0.249 0.751 0.000
Pd 0.414 0.414 0.576
Pd 0.478 0.975 0.265
Pd 0.522 0.025 0.735
Pd 0.586 0.586 0.424
Pd 0.751 0.249 0.000
Pd 0.873 0.873 0.161
Pd 0.975 0.478 0.265

## Properties
crystal system: monoclinic
energy: -4.88 eV/atom